No. 1
Computed, not measured: an optimized crystal structure of HoTh2Pt at the PBE level of DFT.

Distance to the lowest polymorph of the same formula ... 0.000 eV per atom

Lattice parameters (Å, degrees): 3.702 3.702 8.195 90.00 90.00 90.00
Fractional coordinates of all 4 atoms:
1 Ho 0.000 0.000 0.000
2 Th 0.500 0.500 0.294
3 Th 0.500 0.500 0.706
4 Pt 0.000 0.000 0.500

No. 2
Computed, not measured: an optimized crystal structure of HoTh2Pt2 at the PBE level of DFT.

Lattice parameters (Å, degrees): 8.048 8.048 3.892 90.00 90.00 90.00
Fractional coordinates of all 10 atoms:
1 Ho 0.000 0.000 0.000
2 Ho 0.500 0.500 0.000
3 Th 0.170 0.330 0.500
4 Th 0.330 0.830 0.500
5 Th 0.670 0.170 0.500
6 Th 0.830 0.670 0.500
7 Pt 0.132 0.632 0.000
8 Pt 0.368 0.132 0.000
9 Pt 0.632 0.868 0.000
10 Pt 0.868 0.368 0.000

No. 3
Computed, not measured: an optimized crystal structure of HoTh2Pt at the PBE level of DFT.

Distance to the lowest polymorph of the same formula ... 0.326 eV per atom

Lattice parameters (Å, degrees): 10.742 10.742 10.742 19.96 19.96 19.96
Fractional coordinates of all 4 atoms:
1 Ho 0.000 0.000 0.000
2 Th 0.105 0.105 0.105
3 Th 0.895 0.895 0.895
4 Pt 0.500 0.500 0.500

No. 4
Computed, not measured: an optimized crystal structure of HoTh2Pt3 at the PBE level of DFT.

Lattice parameters (Å, degrees): 13.874 13.228 7.170 79.71 69.73 30.56
Fractional coordinates of all 24 atoms:
1 Ho 0.042 0.042 0.208
2 Ho 0.208 0.208 0.042
3 Ho 0.792 0.792 0.958
4 Ho 0.958 0.958 0.792
5 Th 0.126 0.126 0.624
6 Th 0.292 0.292 0.458
7 Th 0.376 0.376 0.874
8 Th 0.458 0.458 0.292
9 Th 0.542 0.542 0.708
10 Th 0.624 0.624 0.126
11 Th 0.708 0.708 0.542
12 Th 0.874 0.874 0.376
13 Pt 0.043 0.540 0.205
14 Pt 0.122 0.628 0.628
15 Pt 0.205 0.712 0.043
16 Pt 0.288 0.795 0.460
17 Pt 0.372 0.878 0.878
18 Pt 0.460 0.957 0.288
19 Pt 0.540 0.043 0.712
20 Pt 0.628 0.122 0.122
21 Pt 0.712 0.205 0.540
22 Pt 0.795 0.288 0.957
23 Pt 0.878 0.372 0.372
24 Pt 0.957 0.460 0.795

No. 5
Computed, not measured: an optimized crystal structure of HoThTlPt at the PBE level of DFT.

Lattice parameters (Å, degrees): 5.240 5.240 5.240 60.00 60.00 60.00
Fractional coordinates of all 4 atoms:
1 Ho 0.000 0.000 0.000
2 Th 0.500 0.500 0.500
3 Tl 0.250 0.250 0.250
4 Pt 0.750 0.750 0.750

No. 6
Computed, not measured: an optimized crystal structure of Ho2TiPt9 at the PBE level of DFT.

Lattice parameters (Å, degrees): 4.057 4.057 12.166 90.00 90.00 90.00
Fractional coordinates of all 12 atoms:
1 Ho 0.000 0.000 0.169
2 Ho 0.000 0.000 0.831
3 Ti 0.000 0.000 0.500
4 Pt 0.000 0.500 0.000
5 Pt 0.000 0.500 0.346
6 Pt 0.000 0.500 0.654
7 Pt 0.500 0.000 0.000
8 Pt 0.500 0.000 0.346
9 Pt 0.500 0.000 0.654
10 Pt 0.500 0.500 0.173
11 Pt 0.500 0.500 0.500
12 Pt 0.500 0.500 0.827

Here are the calculated energy relative to the elements numbers, same order: -0.463 -1.022 -0.137 -1.217 -0.542 -1.005 (eV/atom).